# Cd12In16Sb PBE optimized geometry
# Total DFT energy (no corrections) = -2.002 eV per atom
# Fermi-level density of states = 9.89 states/eV/f.u.
# Total magnetization = 0.0 Bohr magnetons per cell
# E_form (uncorrected) = 0.03 eV per atom
data_Cd12In16Sb
_chemical_formula_sum 'Cd24 In32 Sb2'
_cell_length_a 11.4055
_cell_length_b 16.4598
_cell_length_c 9.7657
_cell_angle_alpha 90.00
_cell_angle_beta 125.56
_cell_angle_gamma 90.00
_space_group_name_H-M_alt 'C 1 m 1'
_space_group_IT_number 8
_space_group_name_Hall 'C -2y'
loop_
_atom_site_label
_atom_site_type_symbol
_atom_site_fract_x
_atom_site_fract_y
_atom_site_fract_z
Cd1 Cd 0.0000 0.0000 0.0000
Cd2 Cd 0.0198 0.4080 0.1943
Cd3 Cd 0.0878 0.0968 0.5662
Cd4 Cd 0.1208 0.3182 0.0056
Cd5 Cd 0.1830 0.0000 0.3785
Cd6 Cd 0.2156 0.4068 0.8169
Cd7 Cd 0.3039 0.3146 0.3863
In1 In 0.1000 0.2944 0.5043
In2 In 0.2530 0.1465 0.1922
In3 In 0.2943 0.2048 0.8866
In4 In 0.3051 0.5000 0.5373
In5 In 0.3114 0.5000 0.2022
In6 In 0.3727 0.1554 0.5997
In7 In 0.4637 0.3407 0.7876
In8 In 0.4699 0.0000 0.8525
In9 In 0.4721 0.3343 0.1930
In10 In 0.4922 0.0000 0.4759
Sb1 Sb 0.2127 0.0000 0.8974